Entry 1:
Ca2SbF2 | PBE | relaxed

Summary:
uncorrected energy = -4.66 eV/atom
space group = No. 139
D(E_F) = 2.20 states/eV per cell
offset from the most stable computed form = 271.0 meV per atom
total magnetic moment = 0.00 μB per formula unit

Unit cell a=6.1852 b=6.1852 c=6.1852 alpha=136.40 beta=136.40 gamma=63.37
Sites, in units of the cell vectors:
Ca 0.2500 0.7500 0.5000
Ca 0.7500 0.2500 0.5000
Sb 0.0000 0.0000 0.0000
F 0.3066 0.3066 0.0000
F 0.6934 0.6934 0.0000


Entry 2:
Pm2TlBi | PBE | relaxed

Summary:
uncorrected energy = -4.41 eV/atom
space group = No. 160
D(E_F) = 2.99 states/eV per cell
offset from the most stable computed form = 158.7 meV per atom
total magnetic moment = 0.00 μB per formula unit

Unit cell a=8.8408 b=8.8408 c=8.8408 alpha=28.15 beta=28.15 gamma=28.15
Sites, in units of the cell vectors:
Pm 0.0000 0.0000 0.0000
Pm 0.1780 0.1780 0.1780
Tl 0.7561 0.7561 0.7561
Bi 0.5878 0.5878 0.5878


Repeat the second record exactly.
Pm2TlBi | PBE | relaxed

Summary:
uncorrected energy = -4.41 eV/atom
space group = No. 160
D(E_F) = 2.99 states/eV per cell
offset from the most stable computed form = 158.7 meV per atom
total magnetic moment = 0.00 μB per formula unit

Unit cell a=8.8408 b=8.8408 c=8.8408 alpha=28.15 beta=28.15 gamma=28.15
Sites, in units of the cell vectors:
Pm 0.0000 0.0000 0.0000
Pm 0.1780 0.1780 0.1780
Tl 0.7561 0.7561 0.7561
Bi 0.5878 0.5878 0.5878